VASP calculation (PBE-GGA) on a relaxed Cu7Te4 crystal.

Symmetry = No. 6
E above lowest polymorph = 0.091 eV per atom
VASP energy = -3.48 eV/atom
Volume = 47.38 Å³/atom

Cell lengths 7.3008, 8.1756, 34.9239 Å; angles 90.00, 90.16, 90.00 degrees
With the nearest neighbours (Å) after each atom.
Element x y z (fractional)
Cu1 0.0000 0.0000 0.0000  4 Cu 2.50-2.62, 3 Te 2.57-2.68
Cu2 0.0019 0.5000 0.2100  3 Te 2.53-2.71, 5 Cu 2.62-2.67
Cu3 0.0482 0.2107 0.0961  5 Cu 2.49-2.67, 3 Te 2.56-2.78
Cu4 0.0482 0.7893 0.0961  5 Cu 2.49-2.67, 3 Te 2.56-2.78
Cu5 0.0936 0.2408 0.1677  5 Cu 2.47-2.67, 3 Te 2.57-2.74
Cu6 0.0936 0.7592 0.1677  5 Cu 2.47-2.67, 3 Te 2.57-2.74
Cu7 0.1025 0.2877 0.8983  4 Cu 2.50-2.58, 2 Te 2.59-2.75
Cu8 0.1025 0.7123 0.8983  4 Cu 2.50-2.58, 2 Te 2.59-2.75
Cu9 0.1389 0.2461 0.9688  5 Cu 2.50-2.75, 2 Te 2.64-2.71
Cu10 0.1389 0.7539 0.9688  5 Cu 2.50-2.75, 2 Te 2.64-2.71
Cu11 0.1410 0.5000 0.0696  6 Cu 2.60-2.83, 4 Te 2.61-2.83
Cu12 0.2252 0.0000 0.8824  2 Te 2.47-2.51, 4 Cu 2.57-2.58
Cu13 0.2771 0.2963 0.2258  2 Te 2.45-2.48, 3 Cu 2.47-2.67
Cu14 0.2771 0.7037 0.2258  2 Te 2.45-2.48, 3 Cu 2.47-2.67
Cu15 0.2797 0.2413 0.0373  5 Cu 2.57-2.67, 3 Te 2.64-2.78
Cu16 0.2797 0.7587 0.0373  5 Cu 2.57-2.67, 3 Te 2.64-2.78
Cu17 0.2980 0.0000 0.1385  4 Cu 2.58-2.67, 3 Te 2.71-2.81
Cu18 0.3021 0.5000 0.1690  8 Cu 2.49-2.79, 2 Te 2.70
Cu19 0.3101 0.5000 0.9317  7 Cu 2.58-2.75, 4 Te 2.65-2.84
Cu20 0.3561 0.0000 0.9932  6 Cu 2.57-2.74, 3 Te 2.60-2.77
Cu21 0.3743 0.2817 0.1096  5 Cu 2.49-2.79, 3 Te 2.61-2.78
Cu22 0.3743 0.7183 0.1096  5 Cu 2.49-2.79, 3 Te 2.61-2.78
Cu23 0.4419 0.2451 0.8921  5 Cu 2.51-2.68, 3 Te 2.57-2.70
Cu24 0.4419 0.7549 0.8921  5 Cu 2.51-2.68, 3 Te 2.57-2.70
Cu25 0.5606 0.0000 0.9277  3 Cu 2.51-2.74, 3 Te 2.66-2.72
Cu26 0.5995 0.5000 0.1339  3 Cu 2.49-2.57, 4 Te 2.57-2.74
Cu27 0.6403 0.5000 0.8957  3 Cu 2.54-2.72, 2 Te 2.54-2.63
Cu28 0.8290 0.0000 0.0659  3 Cu 2.58-2.62, 4 Te 2.65-2.71
Te1 0.3428 0.5000 0.8529  4 Cu 2.59-2.76
Te2 0.4661 0.0000 0.0694  7 Cu 2.64-2.78
Te3 0.4988 0.2705 0.9682  5 Cu 2.60-2.70
Te4 0.4988 0.7295 0.9682  5 Cu 2.60-2.70
Te5 0.4999 0.5000 0.0609  6 Cu 2.63-2.78
Te6 0.5144 0.2318 0.1773  4 Cu 2.48-2.74
Te7 0.5144 0.7682 0.1773  4 Cu 2.48-2.74
Te8 0.5317 0.0000 0.8502  4 Cu 2.51-2.72
Te9 0.9024 0.0000 0.1419  5 Cu 2.57-2.71
Te10 0.9138 0.2759 0.0300  6 Cu 2.56-2.83
Te11 0.9138 0.7241 0.0300  6 Cu 2.56-2.83
Te12 0.9226 0.5000 0.9385  6 Cu 2.54-2.84
Te13 0.9517 0.0000 0.9240  4 Cu 2.47-2.75
Te14 0.9518 0.5000 0.1330  8 Cu 2.57-2.85
Te15 0.9594 0.2219 0.2407  3 Cu 2.45-2.74
Te16 0.9594 0.7781 0.2407  3 Cu 2.45-2.74